No. 1
PBE-GGA LiSe2NCl, relaxed; crystal system = tetragonal; ΔE to the lowest computed polymorph = 0 meV per atom; magnetization = 0.0 μB per formula unit; SG = P4/mmm
1.0
-2.214 -0.623 -4.988
-1.192 -5.230 1.182
-2.979 0.951 1.204
N Cl Li Se
1 1 1 2
direct
0.000 0.000 0.500
0.000 0.000 0.000
0.500 0.500 0.500
0.000 0.500 0.000
0.500 0.000 0.000

***

No. 2
PBE-GGA LiSe2NCl, relaxed; crystal system = tetragonal; ΔE to the lowest computed polymorph = 21 meV per atom; magnetization = 1.1 μB per formula unit; SG = P4/mmm
1.0
-3.250 1.146 3.423
2.232 -2.982 3.117
2.254 2.908 1.167
Li Se N Cl
1 2 1 1
direct
0.000 0.000 0.000
0.500 0.000 0.000
0.000 0.500 0.000
0.000 0.000 0.500
0.500 0.500 0.500

***

No. 3
PBE-GGA SrLi2NCl, relaxed; crystal system = orthorhombic; ΔE to the lowest computed polymorph = 38 meV per atom; magnetization = 0.0 μB per formula unit; SG = Cmcm
1.0
3.761 0.000 0.000
-1.881 6.501 0.000
0.000 0.000 7.440
Li N Cl Sr
4 2 2 2
direct
0.143 0.285 0.550
0.143 0.285 0.950
0.857 0.715 0.450
0.857 0.715 0.050
0.000 0.000 0.500
0.000 0.000 0.000
0.268 0.536 0.250
0.732 0.464 0.750
0.525 0.050 0.250
0.475 0.950 0.750

***

No. 4
PBE-GGA SrLi2NCl, relaxed; crystal system = tetragonal; ΔE to the lowest computed polymorph = 0 meV per atom; magnetization = 0.0 μB per formula unit; SG = P4/mmm
1.0
-2.397 -2.417 2.384
3.174 -0.562 2.623
-1.517 4.204 2.737
Li Sr Cl N
2 1 1 1
direct
0.500 0.000 0.000
0.000 0.500 0.000
0.000 0.000 0.500
0.500 0.500 0.500
0.000 0.000 0.000

***

No. 5
PBE-GGA LiTa2NCl, relaxed; crystal system = tetragonal; magnetization = 0.0 μB per formula unit; SG = P4/mmm
1.0
4.404 0.000 0.000
0.000 3.652 0.000
0.000 0.000 4.404
N Ta Li Cl
1 2 1 1
direct
0.500 0.500 0.500
0.500 0.000 0.000
0.000 0.000 0.500
0.000 0.000 0.000
0.000 0.500 0.000

***

No. 6
PBE-GGA LiTeN2Cl, relaxed; crystal system = tetragonal; ΔE to the lowest computed polymorph = 204 meV per atom; magnetization = 3.4 μB per formula unit; SG = P4/mmm
1.0
4.195 0.000 0.000
0.000 4.195 0.000
0.000 0.000 5.649
N Cl Te Li
2 1 1 1
direct
0.500 0.000 0.000
0.000 0.500 0.000
0.000 0.000 0.000
0.000 0.000 0.500
0.500 0.500 0.500

***

No. 7
PBE-GGA LiTe2NCl, relaxed; crystal system = tetragonal; ΔE to the lowest computed polymorph = 0 meV per atom; magnetization = 0.0 μB per formula unit; SG = P4/mmm
1.0
5.243 0.000 0.000
0.000 5.243 0.000
0.000 0.000 3.579
Te Li N Cl
2 1 1 1
direct
0.000 0.500 0.000
0.500 0.000 0.000
0.000 0.000 0.000
0.000 0.000 0.500
0.500 0.500 0.500

***

No. 8
PBE-GGA LiTeN2Cl, relaxed; crystal system = tetragonal; ΔE to the lowest computed polymorph = 0 meV per atom; magnetization = 5.3 μB per formula unit; SG = P4/mmm
1.0
4.162 0.000 0.000
0.000 4.162 0.000
0.000 0.000 5.781
Te N Li Cl
1 2 1 1
direct
0.000 0.000 0.500
0.000 0.500 0.000
0.500 0.000 0.000
0.000 0.000 0.000
0.500 0.500 0.500

***

No. 9
PBE-GGA LiTe2NCl, relaxed; crystal system = tetragonal; ΔE to the lowest computed polymorph = 84 meV per atom; magnetization = 0.0 μB per formula unit; SG = P4/mmm
1.0
6.234 0.000 0.000
0.000 6.234 0.000
0.000 0.000 3.289
Cl Te N Li
1 2 1 1
direct
0.000 0.000 0.000
0.500 0.000 0.000
0.000 0.500 0.000
0.000 0.000 0.500
0.500 0.500 0.500

***

No. 10
PBE-GGA LiUN2Cl, relaxed; crystal system = monoclinic; magnetization = 0.0 μB per formula unit; SG = P2_1/m
1.0
-3.247 -0.574 -0.727
1.699 -4.835 -3.775
-0.954 -3.237 6.816
Li U Cl N
2 2 2 4
direct
0.250 0.299 0.246
0.750 0.701 0.754
0.250 0.188 0.674
0.750 0.812 0.326
0.750 0.255 0.024
0.250 0.745 0.976
0.750 0.963 0.629
0.250 0.037 0.371
0.250 0.630 0.346
0.750 0.370 0.654

***

No. 11
PBE-GGA LiWNCl2, relaxed; crystal system = tetragonal; magnetization = 4.0 μB per formula unit; SG = P4/mmm
1.0
4.748 0.000 0.000
0.000 3.543 0.000
0.000 0.000 4.748
Li W Cl N
1 1 2 1
direct
0.000 0.500 0.000
0.500 0.500 0.500
0.000 0.000 0.500
0.500 0.000 0.000
0.000 0.000 0.000

***

No. 12
PBE-GGA LiZrN2Cl, relaxed; crystal system = tetragonal; magnetization = 0.1 μB per formula unit; SG = P4/mmm
1.0
-2.033 3.418 0.824
-8.438 -5.656 2.645
1.305 -0.150 3.843
N Cl Zr Li
2 1 1 1
direct
0.500 0.000 0.000
0.000 0.000 0.500
0.500 0.500 0.500
0.000 0.000 0.000
0.000 0.500 0.000

***

The records above yield energy relative to the elements, uncorrected values of 1.072, 1.093, -0.945, -0.983, 1.769, 1.822, 0.849, 1.617, 0.933, -1.260, 1.358, -0.035 eV/atom, respectively.